<1>
Density functional theory data (PBE-GGA) for CuSi2H after structural relaxation.

a b c (Å): 3.998 3.998 3.998
angles (deg): 60.00 60.00 60.00
Positions (direct):
Si: 0.250 0.250 0.250
Si: 0.750 0.750 0.750
H: 0.000 0.000 0.000
Cu: 0.500 0.500 0.500

Properties
- symmetry = Fm-3m, No. 225



<2>
Density functional theory data (PBE-GGA) for CuSi2H after structural relaxation.

a b c (Å): 4.134 4.134 6.873
angles (deg): 72.50 72.50 90.00
Positions (direct):
Si: 0.875 0.784 0.750
Si: 0.534 0.125 0.250
Si: 0.375 0.466 0.750
Si: 0.216 0.625 0.250
H: 0.500 0.500 0.000
H: 0.250 0.750 0.500
Cu: 0.750 0.250 0.500
Cu: 0.000 0.000 0.000

Properties
- symmetry = I-42d, No. 122



Which is the most stable structure? <1> is the most stable.



<1>
Density functional theory data (PBE-GGA) for CuSn3H after structural relaxation.

a b c (Å): 5.066 5.066 5.066
angles (deg): 90.00 90.00 90.00
Positions (direct):
H: 0.500 0.500 0.500
Sn: 0.000 0.000 0.500
Sn: 0.500 0.000 0.000
Sn: 0.000 0.500 0.000
Cu: 0.000 0.000 0.000

Properties
- symmetry = Pm-3m, No. 221



<2>
Density functional theory data (PBE-GGA) for CuSn3H after structural relaxation.

a b c (Å): 4.649 4.649 4.649
angles (deg): 90.00 90.00 90.00
Positions (direct):
H: 0.000 0.000 0.000
Sn: 0.000 0.000 0.500
Sn: 0.500 0.000 0.000
Sn: 0.000 0.500 0.000
Cu: 0.500 0.500 0.500

Properties
- symmetry = Pm-3m, No. 221



Which is the most stable structure? <2> is the most stable.